[1]
Computed, not measured: Tm6Si2SnTe3 after structural relaxation at the PBE level of DFT.

Properties
D(E_F), states/eV/f.u.: 2.18
DFT total energy, eV per atom: -5.277
Density, g/cm³: 8.0
Uncorrected formation energy, eV/atom: -1.02

Unit cell a=18.6330 b=4.2044 c=8.6114 alpha=90.00 beta=104.05 gamma=90.00
Space group C2/m (No. 12)
Unique sites:
Tm (0.0106, 0.0000, 0.2503) x4
Tm (0.1668, 0.5000, 0.1107) x4
Tm (0.1754, 0.5000, 0.5651) x4
Si (0.1677, 0.0000, 0.3362) x4
Sn (0.0000, 0.5000, 0.0000) x2
Te (0.0000, 0.5000, 0.5000) x2
Te (0.1641, 0.0000, 0.8327) x4



[2]
Computed, not measured: Tb3Pr2Nd7 after structural relaxation at the PBE level of DFT.

Properties
Energy of formation from the pure elements, eV/f.u.: 0.79
Polymorph energy (0 for the lowest one), meV per atom: 0
D(E_F), states/eV/f.u.: 18.55
DFT total energy, eV per atom: -4.670
Density, g/cm³: 7.0

Unit cell a=6.5235 b=3.5996 c=17.8589 alpha=90.00 beta=95.88 gamma=90.00
Space group P2/m (No. 10)
Unique sites:
Tb (0.0000, 0.0000, 0.0000) x1
Tb (0.0463, 0.5000, 0.6596) x2
Pr (0.4414, 0.0000, 0.3295) x2
Nd (0.2223, 0.5000, 0.1645) x2
Nd (0.2421, 0.0000, 0.5034) x2
Nd (0.2725, 0.0000, 0.8311) x2
Nd (0.5000, 0.5000, 0.0000) x1



[3]
Computed, not measured: Cs2LiTl2 after structural relaxation at the PBE level of DFT.

Properties
Energy of formation from the pure elements, eV/f.u.: -0.55
Polymorph energy (0 for the lowest one), meV per atom: 0
D(E_F), states/eV/f.u.: 4.03
DFT total energy, eV per atom: -1.781
Density, g/cm³: 4.3

Unit cell a=5.1016 b=5.1016 c=35.3676 alpha=90.00 beta=90.00 gamma=120.00
Space group R-3m (No. 166, hexagonal axes)
Unique sites:
Cs (0.0000, 0.0000, 0.0709) x6
Li (0.0000, 0.0000, 0.5000) x3
Tl (0.0000, 0.0000, 0.1844) x6



[4]
Computed, not measured: Pm5HgGe4 after structural relaxation at the PBE level of DFT.

Properties
Energy of formation from the pure elements, eV/f.u.: -6.30
D(E_F), states/eV/f.u.: 5.72
DFT total energy, eV per atom: -4.883
Density, g/cm³: 7.2

Unit cell a=9.5504 b=9.5504 c=6.1296 alpha=90.00 beta=90.00 gamma=90.00
Space group I4 (No. 79)
Unique sites:
Pm (0.0000, 0.0000, 0.0000) x2
Pm (0.1033, 0.6826, 0.3894) x8
Hg (0.0000, 0.0000, 0.5126) x2
Ge (0.1072, 0.7080, 0.8867) x8



[5]
Computed, not measured: ScSiAsP2 after structural relaxation at the PBE level of DFT.

Properties
D(E_F), states/eV/f.u.: 3.55
DFT total energy, eV per atom: -5.224
Density, g/cm³: 3.6
Uncorrected formation energy, eV/atom: 0.22

Unit cell a=4.5081 b=4.5081 c=4.7930 alpha=90.00 beta=90.00 gamma=90.00
Space group P4/mmm (No. 123)
Unique sites:
Sc (0.0000, 0.0000, 0.0000) x1
Si (0.5000, 0.5000, 0.5000) x1
As (0.5000, 0.5000, 0.0000) x1
P (0.0000, 0.5000, 0.5000) x2



[6]
Computed, not measured: TbHo2Sb after structural relaxation at the PBE level of DFT.

Properties
Polymorph energy (0 for the lowest one), meV per atom: 0
D(E_F), states/eV/f.u.: 6.32
DFT total energy, eV per atom: -5.027
Density, g/cm³: 8.5
Uncorrected formation energy, eV/atom: -0.55

Unit cell a=4.1160 b=12.1885 c=9.5002 alpha=90.00 beta=90.00 gamma=90.00
Space group Cmcm (No. 63)
Unique sites:
Tb (0.0000, 0.0588, 0.2500) x4
Ho (0.0000, 0.3638, 0.0463) x8
Sb (0.0000, 0.2408, 0.7500) x4



Please write out number 2 again, unchanged.
Computed, not measured: Tb3Pr2Nd7 after structural relaxation at the PBE level of DFT.

Properties
Energy of formation from the pure elements, eV/f.u.: 0.79
Polymorph energy (0 for the lowest one), meV per atom: 0
D(E_F), states/eV/f.u.: 18.55
DFT total energy, eV per atom: -4.670
Density, g/cm³: 7.0

Unit cell a=6.5235 b=3.5996 c=17.8589 alpha=90.00 beta=95.88 gamma=90.00
Space group P2/m (No. 10)
Unique sites:
Tb (0.0000, 0.0000, 0.0000) x1
Tb (0.0463, 0.5000, 0.6596) x2
Pr (0.4414, 0.0000, 0.3295) x2
Nd (0.2223, 0.5000, 0.1645) x2
Nd (0.2421, 0.0000, 0.5034) x2
Nd (0.2725, 0.0000, 0.8311) x2
Nd (0.5000, 0.5000, 0.0000) x1



Q: DFT total energy of number 6 (TbHo2Sb)?
A: -5.027 eV per atom



Q: What is the D(E_F) in the third record?
A: 4.03 states/eV/f.u.